VASP calculation (GGA-PBE) on a relaxed Pr8Ge2Ir crystal.

Geometry as CIF:
```
data_Pr8Ge2Ir
_chemical_formula_sum 'Pr8 Ge2 Ir1'
_symmetry_space_group_name_H-M 'P 1'
_symmetry_Int_Tables_number 1
_symmetry_space_group_name_Hall 'P 1'
_cell_length_a 4.832
_cell_length_b 7.213
_cell_length_c 9.952
_cell_angle_alpha 101.19
_cell_angle_beta 104.05
_cell_angle_gamma 90.00
loop_
_atom_site_label
_atom_site_type_symbol
_atom_site_fract_x
_atom_site_fract_y
_atom_site_fract_z
_atom_site_occupancy
Pr1 Pr 0.595 0.482 0.190 1
Pr2 Pr 0.405 0.518 0.810 1
Pr3 Pr 0.347 0.997 0.694 1
Pr4 Pr 0.653 0.003 0.306 1
Pr5 Pr 0.018 0.781 0.035 1
Ge1 Ge 0.182 0.751 0.364 1
Pr6 Pr 0.216 0.337 0.433 1
Ge2 Ge 0.818 0.249 0.636 1
Ir1 Ir 0.500 0.000 0.000 1
Pr7 Pr 0.982 0.219 0.965 1
Pr8 Pr 0.784 0.663 0.567 1
```

Calculated values
magnetization: 0.00 μB per formula unit
energy of formation from the pure elements: -4.56 eV per formula unit
space-group type: C2/m, No. 12
DFT total energy: -5.536 eV/atom
V: 30.0 Å³ per atom